Record 1
KInNiTe3: relaxed, PBE.

Cell: 7.1613 7.1613 12.2152 Å, 90.00 90.00 144.44°
With the nearest neighbours (Å) after each atom.
Fractional positions:
1 In 0.5000 0.5000 0.0000  6 Te 3.04-3.06
2 In 0.5000 0.5000 0.5000  6 Te 3.04-3.06
3 K 0.7789 0.2211 0.2500  2 Ni 3.45, 6 Te 3.65-3.69
4 K 0.2211 0.7789 0.7500  2 Ni 3.45, 6 Te 3.65-3.69
5 Ni 0.0832 0.9168 0.2500  4 Te 2.51-2.53
6 Ni 0.9168 0.0832 0.7500  4 Te 2.51-2.53
7 Te 0.1469 0.8531 0.0558  1 Ni 2.53
8 Te 0.4928 0.5072 0.2500  2 Ni 2.51
9 Te 0.1469 0.8531 0.4442  1 Ni 2.53
10 Te 0.8531 0.1469 0.5558  1 Ni 2.53
11 Te 0.5072 0.4928 0.7500  2 Ni 2.51
12 Te 0.8531 0.1469 0.9442  1 Ni 2.53

For the total energy, the calculation gives -21.1 eV/f.u.

---

Record 2
ScBeNb: relaxed, PBE.

Cell: 4.2283 4.2283 4.2283 Å, 60.00 60.00 60.00°
With the nearest neighbours (Å) after each atom.
Fractional positions:
1 Be 0.0000 0.0000 0.0000  4 Sc 2.59, 4 Nb 2.59
2 Nb 0.2500 0.2500 0.2500  4 Be 2.59
3 Sc 0.7500 0.7500 0.7500  4 Be 2.59

Its excess energy over the best structure of this formula in the dataset is 0.0 meV per atom.

---

Record 3
RbDyTeO: relaxed, PBE.

Cell: 9.4358 7.4384 6.7060 Å, 90.00 100.67 90.00°
With the nearest neighbours (Å) after each atom.
Fractional positions:
1 Dy 0.5074 0.6367 0.2079  3 O 2.17-2.25
2 Dy 0.4926 0.1367 0.2921  3 O 2.17-2.25
3 Dy 0.5074 0.8633 0.7079  3 O 2.17-2.25
4 Dy 0.4926 0.3633 0.7921  3 O 2.17-2.25
5 O 0.5688 0.3599 0.1183  3 Dy 2.17-2.25
6 O 0.4312 0.8599 0.3817  3 Dy 2.17-2.25
7 O 0.5688 0.1401 0.6183  3 Dy 2.17-2.25
8 O 0.4312 0.6401 0.8817  3 Dy 2.17-2.25
9 Rb 0.8673 0.4200 0.1800  1 O 2.81
10 Rb 0.1327 0.9200 0.3200  1 O 2.81
11 Rb 0.8673 0.0800 0.6800  1 O 2.81
12 Rb 0.1327 0.5800 0.8200  1 O 2.81
13 Te 0.7439 0.9252 0.1354  3 Dy 3.18-3.32
14 Te 0.2562 0.4252 0.3646  3 Dy 3.18-3.32
15 Te 0.7439 0.5748 0.6354  3 Dy 3.18-3.32
16 Te 0.2562 0.0748 0.8646  3 Dy 3.18-3.32

Its excess energy over the best structure of this formula in the dataset is 0.0 meV per atom.

---

Record 4
TbThCu: relaxed, PBE.

Cell: 4.8415 4.8415 4.8415 Å, 60.00 60.00 60.00°
With the nearest neighbours (Å) after each atom.
Fractional positions:
1 Cu 0.0000 0.0000 0.0000  4 Th 2.96, 4 Tb 2.96
2 Tb 0.2500 0.2500 0.2500  4 Cu 2.96
3 Th 0.7500 0.7500 0.7500  4 Cu 2.96

The value obtained for the formation energy is 0.6 eV/f.u. Its excess energy over the best structure of this formula in the dataset is 0.0 meV per atom.

---

Record 5
ZnI2: relaxed, PBE.

Cell: 8.6104 8.6104 8.6104 Å, 60.00 60.00 60.00°
With the nearest neighbours (Å) after each atom.
Fractional positions:
1 I 0.8750 0.3750 0.3750  2 Zn 2.64
2 I 0.3750 0.8750 0.3750  2 Zn 2.64
3 I 0.3750 0.3750 0.3750  2 Zn 2.64
4 I 0.3750 0.3750 0.8750  2 Zn 2.64
5 Zn 0.2500 0.2500 0.2500  4 I 2.64
6 Zn 0.5000 0.5000 0.5000  4 I 2.64

For the total energy, the calculation gives -5.4 eV/f.u.

---

Record 6
Lu2FeN: relaxed, PBE.

Cell: 3.2904 3.2904 14.1277 Å, 90.00 90.00 120.00°
With the nearest neighbours (Å) after each atom.
Fractional positions:
1 Fe 0.6667 0.3333 0.2500  6 Lu 2.87
2 Fe 0.3333 0.6667 0.7500  6 Lu 2.87
3 Lu 0.3333 0.6667 0.0976  3 N 2.35
4 Lu 0.3333 0.6667 0.4024  3 N 2.35
5 Lu 0.6667 0.3333 0.5976  3 N 2.35
6 Lu 0.6667 0.3333 0.9024  3 N 2.35
7 N 0.0000 0.0000 0.0000  6 Lu 2.35
8 N 0.0000 0.0000 0.5000  6 Lu 2.35

Its excess energy over the best structure of this formula in the dataset is 85.6 meV per atom.

---

Record 7
YTlZnTe3: relaxed, PBE.

Cell: 9.1192 4.6145 17.6400 Å, 90.00 90.00 90.00°
With the nearest neighbours (Å) after each atom.
Fractional positions:
1 Te 0.6266 0.7500 0.0527  1 Zn 2.71
2 Te 0.9973 0.2500 0.0871  2 Zn 2.77
3 Te 0.2994 0.7500 0.2123  1 Zn 2.63
4 Te 0.7994 0.7500 0.2877  1 Zn 2.63
5 Te 0.4973 0.2500 0.4129  2 Zn 2.77
6 Te 0.1266 0.7500 0.4473  1 Zn 2.71
7 Te 0.8734 0.2500 0.5527  1 Zn 2.71
8 Te 0.5027 0.7500 0.5871  2 Zn 2.77
9 Te 0.2006 0.2500 0.7123  1 Zn 2.63
10 Te 0.7006 0.2500 0.7877  1 Zn 2.63
11 Te 0.0027 0.7500 0.9129  2 Zn 2.77
12 Te 0.3734 0.2500 0.9473  1 Zn 2.71
13 Tl 0.5697 0.2500 0.2106  7 Te 3.38-3.65, 2 Zn 3.76
14 Tl 0.0697 0.2500 0.2894  7 Te 3.38-3.65, 2 Zn 3.76
15 Tl 0.9303 0.7500 0.7106  7 Te 3.38-3.65, 2 Zn 3.76
16 Tl 0.4303 0.7500 0.7894  7 Te 3.38-3.65, 2 Zn 3.76
17 Y 0.2519 0.7500 0.0452  4 Te 2.98-3.26
18 Y 0.7519 0.7500 0.4548  4 Te 2.98-3.26
19 Y 0.2481 0.2500 0.5452  4 Te 2.98-3.26
20 Y 0.7481 0.2500 0.9548  4 Te 2.98-3.26
21 Zn 0.8678 0.7500 0.1427  4 Te 2.63-2.77
22 Zn 0.3678 0.7500 0.3573  4 Te 2.63-2.77
23 Zn 0.6322 0.2500 0.6427  4 Te 2.63-2.77
24 Zn 0.1322 0.2500 0.8573  4 Te 2.63-2.77

Its excess energy over the best structure of this formula in the dataset is 123.1 meV per atom.

---

Record 8
PuNbAg: relaxed, PBE.

Cell: 4.5055 4.5055 4.5055 Å, 60.00 60.00 60.00°
With the nearest neighbours (Å) after each atom.
Fractional positions:
1 Ag 0.2500 0.2500 0.2500  4 Nb 2.76
2 Nb 0.0000 0.0000 0.0000  4 Ag 2.76, 4 Pu 2.76
3 Pu 0.7500 0.7500 0.7500  4 Nb 2.76

The value obtained for the formation energy is 2.5 eV/f.u. Its excess energy over the best structure of this formula in the dataset is 0.0 meV per atom.

---

Record 9
PrAlPt: relaxed, PBE.

Cell: 4.4316 4.4316 7.9882 Å, 90.00 90.00 120.00°
With the nearest neighbours (Å) after each atom.
Fractional positions:
1 Al 0.6667 0.3333 0.2500  3 Pt 2.56
2 Al 0.3333 0.6667 0.7500  3 Pt 2.56
3 Pr 0.0000 0.0000 0.0000  6 Pt 3.25, 6 Al 3.25
4 Pr 0.0000 0.0000 0.5000  6 Al 3.25, 6 Pt 3.25
5 Pt 0.3333 0.6667 0.2500  3 Al 2.56
6 Pt 0.6667 0.3333 0.7500  3 Al 2.56

For the total energy, the calculation gives -17.4 eV/f.u.

---

Record 10
RbNpOs: relaxed, PBE.

Cell: 4.9072 4.9072 4.9072 Å, 60.00 60.00 60.00°
With the nearest neighbours (Å) after each atom.
Fractional positions:
1 Np 0.2500 0.2500 0.2500  4 Os 3.01
2 Os 0.0000 0.0000 0.0000  4 Np 3.01, 4 Rb 3.01
3 Rb 0.7500 0.7500 0.7500  4 Os 3.01

For the total energy, the calculation gives -20.4 eV/f.u.

---

Record 11
Hf8Ni2C3N3: relaxed, PBE.

Cell: 3.2434 3.2434 23.4249 Å, 90.00 90.00 120.00°
With the nearest neighbours (Å) after each atom.
Fractional positions:
1 C 0.0000 0.0000 0.0000  6 Hf 2.29
2 C 0.6667 0.3333 0.1166  6 Hf 2.25-2.35
3 C 0.3333 0.6667 0.8834  6 Hf 2.25-2.35
4 Hf 0.3333 0.6667 0.0561  6 C 2.29-2.35
5 Hf 0.0000 0.0000 0.1696  3 C 2.25
6 Hf 0.0000 0.0000 0.3319  3 N 2.31
7 Hf 0.3333 0.6667 0.4436  6 N 2.26-2.29
8 Hf 0.6667 0.3333 0.5564  6 N 2.26-2.29
9 Hf 0.0000 0.0000 0.6681  3 N 2.31
10 Hf 0.0000 0.0000 0.8304  3 C 2.25
11 Hf 0.6667 0.3333 0.9439  6 C 2.29-2.35
12 N 0.6667 0.3333 0.3899  6 Hf 2.26-2.31
13 N 0.0000 0.0000 0.5000  6 Hf 2.29
14 N 0.3333 0.6667 0.6101  6 Hf 2.26-2.31
15 Ni 0.3333 0.6667 0.2533  6 Hf 2.63-2.71
16 Ni 0.6667 0.3333 0.7467  6 Hf 2.63-2.71

For the total energy, the calculation gives -160.3 eV/f.u.

---

Record 12
Nd2GdCd3CuAu2: relaxed, PBE.

Cell: 3.9603 7.8262 7.8262 Å, 119.71 90.00 90.00°
With the nearest neighbours (Å) after each atom.
Fractional positions:
1 Au 0.5000 0.6653 0.3380  3 Cd 3.01-3.08, 2 Gd 3.05, 4 Nd 3.11
2 Au 0.5000 0.3380 0.6653  3 Cd 3.01-3.08, 2 Gd 3.05, 4 Nd 3.11
3 Cd 0.5000 0.2431 0.2431  2 Cu 2.76, 2 Au 3.01
4 Cd 0.5000 0.9979 0.7575  2 Cu 2.73, 1 Au 3.01
5 Cd 0.5000 0.7575 0.9979  2 Cu 2.73, 1 Au 3.01
6 Cu 0.0000 0.9980 0.9980  6 Cd 2.73-2.76
7 Gd 0.0000 0.5913 0.5913  4 Au 3.05, 1 Cu 3.20, 6 Cd 3.38-3.41
8 Nd 0.0000 0.4088 0.0001  4 Au 3.11, 1 Cu 3.21, 6 Cd 3.38-3.44
9 Nd 0.0000 0.0001 0.4088  4 Au 3.11, 1 Cu 3.21, 6 Cd 3.38-3.44

The value obtained for the formation energy is -5.0 eV/f.u.